# SrHgTeO GGA-PBE optimized geometry
# * relative energy among the computed polymorphs: 188.6 meV per atom
# * uncorrected energy: -14.50 eV per formula unit
data_SrHgTeO
_chemical_formula_sum 'Sr4 Hg4 Te4 O4'
_cell_length_a 6.636
_cell_length_b 10.219
_cell_length_c 6.507
_cell_angle_alpha 90.00
_cell_angle_beta 90.00
_cell_angle_gamma 90.00
_space_group_name_H-M_alt 'P c a 21'
_space_group_IT_number 29
loop_
_space_group_symop_operation_xyz
'x,y,z'
'-x,-y,z+1/2'
'-x+1/2,y,z+1/2'
'x+1/2,-y,z'
loop_
_atom_site_label
_atom_site_type_symbol
_atom_site_fract_x
_atom_site_fract_y
_atom_site_fract_z
Sr1 Sr 0.003 0.200 0.000
Hg1 Hg 0.070 0.411 0.443
Te1 Te 0.005 0.854 0.000
O1 O 0.083 0.417 0.062

# InBi2Au GGA-PBE optimized geometry
# * uncorrected energy: -13.69 eV per formula unit
data_InBi2Au
_chemical_formula_sum 'In4 Bi8 Au4'
_cell_length_a 7.535
_cell_length_b 7.535
_cell_length_c 7.535
_cell_angle_alpha 90.00
_cell_angle_beta 90.00
_cell_angle_gamma 90.00
_space_group_name_H-M_alt 'F -4 3 m'
_space_group_IT_number 216
_space_group_name_Hall 'F -4 2 3'
loop_
_atom_site_label
_atom_site_type_symbol
_atom_site_fract_x
_atom_site_fract_y
_atom_site_fract_z
In1 In 0.000 0.000 0.000
Bi1 Bi 0.000 0.000 0.500
Bi2 Bi 0.250 0.250 0.750
Au1 Au 0.250 0.250 0.250

> What is the formula in the second record?

InBi2Au